An optimized crystal structure of TlCdSBr. Source: the Alexandria database, functional PBE.

Cell lengths 4.2412, 4.2412, 7.9530 Å; angles 90.00, 90.00, 120.00 degrees
Space group P3m1 (No. 156)
Symmetry-distinct sites (fractional):
Tl 0.0000 0.0000 0.0000 (multiplicity 1)
Cd 0.3333 0.6667 0.3996 (multiplicity 1)
S 0.6667 0.3333 0.2947 (multiplicity 1)
Br 0.3333 0.6667 0.7418 (multiplicity 1)

Fermi-level density of states ... 0.00 states/eV/atom
Final energy ... -2.92 eV/atom